Here is a geometry-optimized TbHfCoRh structure from the Alexandria database. Energies are from PBE.

Cell lengths 6.6093, 6.6093, 6.6093 Å; angles 90.00, 90.00, 90.00 degrees
Space group F-43m (No. 216)
Symmetry-distinct sites (fractional):
Tb 0.0000 0.0000 0.0000 x4
Hf 0.0000 0.0000 0.5000 x4
Co 0.2500 0.2500 0.2500 x4
Rh 0.2500 0.2500 0.7500 x4

Summary:
Energy of formation from the pure elements, meV/atom: -482
Magnetization, μB per formula unit: 0.0

---

Here is a geometry-optimized HfCoTeRh2 structure from the Alexandria database. Energies are from PBE.

Cell lengths 4.7898, 4.7898, 4.4759 Å; angles 90.00, 90.00, 90.00 degrees
Space group P4/mmm (No. 123)
Symmetry-distinct sites (fractional):
Hf 0.0000 0.0000 0.0000 x1
Co 0.5000 0.5000 0.0000 x1
Te 0.5000 0.5000 0.5000 x1
Rh 0.0000 0.5000 0.5000 x2

Summary:
Formation energy without anion corrections, meV/atom: 690
Magnetization, μB per formula unit: 1.2

---

Here is a geometry-optimized Hf2CoTeRh structure from the Alexandria database. Energies are from PBE.

Cell lengths 4.9562, 4.9562, 4.9551 Å; angles 90.00, 90.00, 90.00 degrees
Space group P4/mmm (No. 123)
Symmetry-distinct sites (fractional):
Hf 0.0000 0.5000 0.0000 x2
Co 0.0000 0.0000 0.5000 x1
Te 0.5000 0.5000 0.5000 x1
Rh 0.5000 0.5000 0.0000 x1

Summary:
Formation energy without anion corrections, meV/atom: 738
Magnetization, μB per formula unit: 1.5

---

Here is a geometry-optimized TmHfCoRh structure from the Alexandria database. Energies are from PBE.

Cell lengths 3.2386, 3.2386, 6.6854 Å; angles 90.00, 90.00, 90.00 degrees
Space group P4mm (No. 99)
Symmetry-distinct sites (fractional):
Tm 0.0000 0.0000 0.0000 x1
Hf 0.0000 0.0000 0.5175 x1
Co 0.5000 0.5000 0.7308 x1
Rh 0.5000 0.5000 0.2771 x1

Summary:
Polymorph energy (0 for the lowest one), kJ/mol of formula units: 0
Energy of formation from the pure elements, meV/atom: -638
Magnetization, μB per formula unit: 0.0

---

Here is a geometry-optimized TmHfCoRh structure from the Alexandria database. Energies are from PBE.

Cell lengths 6.5462, 6.5462, 6.5462 Å; angles 90.00, 90.00, 90.00 degrees
Space group F-43m (No. 216)
Symmetry-distinct sites (fractional):
Tm 0.0000 0.0000 0.0000 x4
Hf 0.0000 0.0000 0.5000 x4
Co 0.2500 0.2500 0.7500 x4
Rh 0.2500 0.2500 0.2500 x4

Summary:
Polymorph energy (0 for the lowest one), kJ/mol of formula units: 24
Energy of formation from the pure elements, meV/atom: -577
Magnetization, μB per formula unit: 0.0

---

Here is a geometry-optimized HfVCoRh structure from the Alexandria database. Energies are from PBE.

Cell lengths 6.2242, 6.2242, 6.2242 Å; angles 90.00, 90.00, 90.00 degrees
Space group F-43m (No. 216)
Symmetry-distinct sites (fractional):
Hf 0.0000 0.0000 0.0000 x4
V 0.0000 0.0000 0.5000 x4
Co 0.2500 0.2500 0.2500 x4
Rh 0.2500 0.2500 0.7500 x4

Summary:
Energy of formation from the pure elements, meV/atom: -311
Magnetization, μB per formula unit: 2.8

---

Here is a geometry-optimized HfZnCoRh structure from the Alexandria database. Energies are from PBE.

Cell lengths 6.1544, 6.1544, 6.1544 Å; angles 90.00, 90.00, 90.00 degrees
Space group F-43m (No. 216)
Symmetry-distinct sites (fractional):
Hf 0.0000 0.0000 0.0000 x4
Zn 0.0000 0.0000 0.5000 x4
Co 0.2500 0.2500 0.2500 x4
Rh 0.2500 0.2500 0.7500 x4

Summary:
Energy of formation from the pure elements, meV/atom: -562
Magnetization, μB per formula unit: 0.0

---

Here is a geometry-optimized Hf5Zr2Co2Rh structure from the Alexandria database. Energies are from PBE.

Cell lengths 10.8607, 10.8607, 3.2513 Å; angles 90.00, 90.00, 90.00 degrees
Space group P4/mbm (No. 127)
Symmetry-distinct sites (fractional):
Hf 0.0000 0.5000 0.0000 x2
Hf 0.0585 0.2037 0.0000 x8
Zr 0.1788 0.6788 0.5000 x4
Co 0.1306 0.3694 0.5000 x4
Rh 0.0000 0.0000 0.5000 x2

Summary:
Energy of formation from the pure elements, meV/atom: -403
Magnetization, μB per formula unit: 0.0

---

Here is a geometry-optimized HfZrCoRh structure from the Alexandria database. Energies are from PBE.

Cell lengths 6.4738, 6.4738, 6.4738 Å; angles 90.00, 90.00, 90.00 degrees
Space group F-43m (No. 216)
Symmetry-distinct sites (fractional):
Hf 0.0000 0.0000 0.0000 x4
Zr 0.0000 0.0000 0.5000 x4
Co 0.2500 0.2500 0.2500 x4
Rh 0.2500 0.2500 0.7500 x4

Summary:
Energy of formation from the pure elements, meV/atom: -555
Magnetization, μB per formula unit: 0.9

---

Here is a geometry-optimized HfCoRu3 structure from the Alexandria database. Energies are from PBE.

Cell lengths 4.6952, 4.6952, 4.6952 Å; angles 90.00, 90.00, 90.00 degrees
Space group Pm-3m (No. 221)
Symmetry-distinct sites (fractional):
Hf 0.0000 0.0000 0.0000 x1
Co 0.5000 0.5000 0.5000 x1
Ru 0.0000 0.0000 0.5000 x3

Summary:
Polymorph energy (0 for the lowest one), kJ/mol of formula units: 592
Energy of formation from the pure elements, meV/atom: 2017
Magnetization, μB per formula unit: 2.8

---

Here is a geometry-optimized HfCoRu structure from the Alexandria database. Energies are from PBE.

Cell lengths 8.4581, 4.0588, 5.3552 Å; angles 90.00, 102.64, 90.00 degrees
Space group Cm (No. 8)
Symmetry-distinct sites (fractional):
Hf 0.0000 0.0000 0.0000 x2
Hf 0.2143 0.5000 0.3739 x2
Co 0.1811 0.5000 0.8551 x2
Co 0.3456 0.0000 0.1843 x2
Ru 0.0383 0.0000 0.5177 x2
Ru 0.3615 0.0000 0.7004 x2

Summary:
Polymorph energy (0 for the lowest one), kJ/mol of formula units: 34
Energy of formation from the pure elements, meV/atom: -266
Magnetization, μB per formula unit: 0.0

---

Here is a geometry-optimized HfCoRu2 structure from the Alexandria database. Energies are from PBE.

Cell lengths 3.8148, 3.8148, 17.6325 Å; angles 90.00, 90.00, 90.00 degrees
Space group I-42d (No. 122)
Symmetry-distinct sites (fractional):
Hf 0.0000 0.0000 0.0000 x4
Co 0.0000 0.0000 0.5000 x4
Ru 0.2057 0.2500 0.6250 x8

Summary:
Polymorph energy (0 for the lowest one), kJ/mol of formula units: 189
Energy of formation from the pure elements, meV/atom: 278
Magnetization, μB per formula unit: 0.0

---

Here is a geometry-optimized Hf2CoRu structure from the Alexandria database. Energies are from PBE.

Cell lengths 2.8903, 4.9717, 9.7717 Å; angles 90.00, 90.00, 90.00 degrees
Space group Immm (No. 71)
Symmetry-distinct sites (fractional):
Hf 0.0000 0.0000 0.2419 x4
Co 0.0000 0.0000 0.0000 x2
Ru 0.0000 0.0000 0.5000 x2

Summary:
Polymorph energy (0 for the lowest one), kJ/mol of formula units: 426
Energy of formation from the pure elements, meV/atom: 520
Magnetization, μB per formula unit: 0.0

---

Here is a geometry-optimized Hf3CoRu structure from the Alexandria database. Energies are from PBE.

Cell lengths 4.8967, 4.8967, 4.8967 Å; angles 90.00, 90.00, 90.00 degrees
Space group Pm-3m (No. 221)
Symmetry-distinct sites (fractional):
Hf 0.0000 0.0000 0.5000 x3
Co 0.5000 0.5000 0.5000 x1
Ru 0.0000 0.0000 0.0000 x1

Summary:
Polymorph energy (0 for the lowest one), kJ/mol of formula units: 197
Energy of formation from the pure elements, meV/atom: 758
Magnetization, μB per formula unit: 0.0

---

Here is a geometry-optimized HfCoRu structure from the Alexandria database. Energies are from PBE.

Cell lengths 9.2816, 4.0777, 5.2718 Å; angles 90.00, 114.32, 90.00 degrees
Space group C2/m (No. 12)
Symmetry-distinct sites (fractional):
Hf 0.1889 0.0000 0.1682 x4
Co 0.1314 0.0000 0.6332 x4
Ru 0.0386 0.5000 0.2910 x4

Summary:
Polymorph energy (0 for the lowest one), kJ/mol of formula units: 47
Energy of formation from the pure elements, meV/atom: -220
Magnetization, μB per formula unit: 0.0

---

Here is a geometry-optimized Hf6CoRu structure from the Alexandria database. Energies are from PBE.

Cell lengths 6.4100, 8.7718, 5.8022 Å; angles 90.00, 107.11, 90.00 degrees
Space group C2/m (No. 12)
Symmetry-distinct sites (fractional):
Hf 0.0848 0.2451 0.2705 x8
Hf 0.2467 0.5000 0.0065 x4
Co 0.0000 0.0000 0.5000 x2
Ru 0.0000 0.5000 0.5000 x2

Summary:
Energy of formation from the pure elements, meV/atom: -104
Magnetization, μB per formula unit: 0.0

---

Here is a geometry-optimized Hf5Co4Ru structure from the Alexandria database. Energies are from PBE.

Cell lengths 3.1838, 3.1838, 15.8385 Å; angles 90.00, 90.00, 90.00 degrees
Space group P4/mmm (No. 123)
Symmetry-distinct sites (fractional):
Hf 0.0000 0.0000 0.0000 x1
Hf 0.0000 0.0000 0.1980 x2
Hf 0.0000 0.0000 0.3960 x2
Co 0.5000 0.5000 0.0988 x2
Co 0.5000 0.5000 0.2971 x2
Ru 0.5000 0.5000 0.5000 x1

Summary:
Energy of formation from the pure elements, meV/atom: -467
Magnetization, μB per formula unit: 3.3

---

Here is a geometry-optimized HfCoRu structure from the Alexandria database. Energies are from PBE.

Cell lengths 4.8621, 6.2132, 5.9489 Å; angles 90.00, 90.00, 90.00 degrees
Space group Ima2 (No. 46)
Symmetry-distinct sites (fractional):
Hf 0.2500 0.1573 0.0000 x4
Co 0.0000 0.0000 0.3556 x4
Ru 0.2500 0.6800 0.1910 x4

Summary:
Polymorph energy (0 for the lowest one), kJ/mol of formula units: 16
Energy of formation from the pure elements, meV/atom: -330
Magnetization, μB per formula unit: 0.0

---

Here is a geometry-optimized HfCoRu structure from the Alexandria database. Energies are from PBE.

Cell lengths 4.3508, 4.3508, 5.3840 Å; angles 90.00, 90.00, 120.00 degrees
Space group P6_3/mmc (No. 194)
Symmetry-distinct sites (fractional):
Hf 0.3333 0.6667 0.2500 x2
Co 0.3333 0.6667 0.7500 x2
Ru 0.0000 0.0000 0.0000 x2

Summary:
Polymorph energy (0 for the lowest one), kJ/mol of formula units: 17
Energy of formation from the pure elements, meV/atom: -325
Magnetization, μB per formula unit: 0.0

---

Here is a geometry-optimized HfCoRu2 structure from the Alexandria database. Energies are from PBE.

Cell lengths 3.8837, 3.8837, 3.8703 Å; angles 90.00, 90.00, 90.00 degrees
Space group P4/mmm (No. 123)
Symmetry-distinct sites (fractional):
Hf 0.0000 0.0000 0.0000 x1
Co 0.5000 0.5000 0.0000 x1
Ru 0.0000 0.5000 0.5000 x2

Summary:
Polymorph energy (0 for the lowest one), kJ/mol of formula units: 0
Energy of formation from the pure elements, meV/atom: -211
Magnetization, μB per formula unit: 0.8

---

Here is a geometry-optimized Hf3CoRu structure from the Alexandria database. Energies are from PBE.

Cell lengths 4.6714, 4.6714, 4.6714 Å; angles 90.00, 90.00, 90.00 degrees
Space group Pm-3m (No. 221)
Symmetry-distinct sites (fractional):
Hf 0.0000 0.0000 0.5000 x3
Co 0.0000 0.0000 0.0000 x1
Ru 0.5000 0.5000 0.5000 x1

Summary:
Polymorph energy (0 for the lowest one), kJ/mol of formula units: 0
Energy of formation from the pure elements, meV/atom: 350
Magnetization, μB per formula unit: 0.0

---

Here is a geometry-optimized HfCoRu structure from the Alexandria database. Energies are from PBE.

Cell lengths 8.0978, 4.1420, 5.4336 Å; angles 90.00, 101.42, 90.00 degrees
Space group C2/m (No. 12)
Symmetry-distinct sites (fractional):
Hf 0.1472 0.0000 0.2975 x4
Co 0.1826 0.0000 0.8285 x4
Ru 0.0000 0.5000 0.0000 x2
Ru 0.0000 0.5000 0.5000 x2

Summary:
Polymorph energy (0 for the lowest one), kJ/mol of formula units: 23
Energy of formation from the pure elements, meV/atom: -306
Magnetization, μB per formula unit: 0.0

---

Here is a geometry-optimized Hf6Co5Ru structure from the Alexandria database. Energies are from PBE.

Cell lengths 14.1706, 6.3611, 4.4832 Å; angles 90.00, 108.36, 90.00 degrees
Space group C2/m (No. 12)
Symmetry-distinct sites (fractional):
Hf 0.0000 0.2465 0.0000 x4
Hf 0.1685 0.2484 0.6685 x8
Co 0.0000 0.0000 0.5000 x2
Co 0.1660 0.5000 0.1655 x4
Co 0.1668 0.0000 0.1665 x4
Ru 0.0000 0.5000 0.5000 x2

Summary:
Energy of formation from the pure elements, meV/atom: -447
Magnetization, μB per formula unit: 3.6

---

Here is a geometry-optimized HfCoRu structure from the Alexandria database. Energies are from PBE.

Cell lengths 7.6333, 4.4118, 5.4020 Å; angles 90.00, 90.08, 90.00 degrees
Space group Cm (No. 8)
Symmetry-distinct sites (fractional):
Hf 0.0000 0.0000 0.0000 x2
Hf 0.1663 0.5000 0.6216 x2
Co 0.9996 0.0000 0.4834 x2
Co 0.3332 0.0000 0.3170 x2
Ru 0.1666 0.5000 0.1381 x2
Ru 0.3331 0.0000 0.8086 x2

Summary:
Polymorph energy (0 for the lowest one), kJ/mol of formula units: 18
Energy of formation from the pure elements, meV/atom: -321
Magnetization, μB per formula unit: 1.6

---

Here is a geometry-optimized HfCoRu structure from the Alexandria database. Energies are from PBE.

Cell lengths 4.9335, 5.0977, 7.1467 Å; angles 90.00, 90.00, 90.00 degrees
Space group Imma (No. 74)
Symmetry-distinct sites (fractional):
Hf 0.0000 0.2500 0.1231 x4
Co 0.2500 0.2500 0.7500 x4
Ru 0.0000 0.0000 0.5000 x4

Summary:
Polymorph energy (0 for the lowest one), kJ/mol of formula units: 0
Energy of formation from the pure elements, meV/atom: -384
Magnetization, μB per formula unit: 0.0